# PBE CuWAu2, relaxed
# calculated formation energy = 0.55 eV per atom
# total energy = -0.1968 hartree per atom
data_CuWAu2
_symmetry_space_group_name_H-M 'F -4 3 m'
_symmetry_Int_Tables_number 216
_symmetry_space_group_name_Hall 'F -4 2 3'
_cell_length_a 6.355
_cell_length_b 6.355
_cell_length_c 6.355
_cell_angle_alpha 90.00
_cell_angle_beta 90.00
_cell_angle_gamma 90.00
loop_
_atom_site_label
_atom_site_fract_x
_atom_site_fract_y
_atom_site_fract_z
Cu1 0.000 0.000 0.000
W1 0.250 0.250 0.250
Au1 0.000 0.000 0.500
Au2 0.250 0.250 0.750



# PBE CuWAu2, relaxed
# calculated formation energy = 0.28 eV per atom
# total energy = -0.2067 hartree per atom
data_CuWAu2
_symmetry_space_group_name_H-M 'R 3 m'
_symmetry_Int_Tables_number 160
_symmetry_space_group_name_Hall 'R 3 -2"'
_cell_length_a 2.8706
_cell_length_b 2.8706
_cell_length_c 27.3545
_cell_angle_alpha 90.00
_cell_angle_beta 90.00
_cell_angle_gamma 120.00
loop_
_atom_site_label
_atom_site_fract_x
_atom_site_fract_y
_atom_site_fract_z
Cu1 0.0000 0.0000 0.0000
W1 0.0000 0.0000 0.2557
Au1 0.0000 0.0000 0.5037
Au2 0.0000 0.0000 0.7456



# PBE CuWAu4, relaxed
# calculated formation energy = 0.77 eV per atom
# total energy = -0.1564 hartree per atom
data_CuWAu4
_symmetry_space_group_name_H-M 'F -4 3 m'
_symmetry_Int_Tables_number 216
_symmetry_space_group_name_Hall 'F -4 2 3'
_cell_length_a 7.641
_cell_length_b 7.641
_cell_length_c 7.641
_cell_angle_alpha 90.00
_cell_angle_beta 90.00
_cell_angle_gamma 90.00
loop_
_atom_site_label
_atom_site_fract_x
_atom_site_fract_y
_atom_site_fract_z
Cu1 0.000 0.000 0.000
W1 0.250 0.250 0.750
Au1 0.125 0.125 0.375



# PBE CuWAu2, relaxed
# calculated formation energy = 0.81 eV per atom
# total energy = -0.1869 hartree per atom
data_CuWAu2
_symmetry_space_group_name_H-M 'I -4 2 d'
_symmetry_Int_Tables_number 122
_symmetry_space_group_name_Hall 'I -4 2bw'
_cell_length_a 3.848
_cell_length_b 3.848
_cell_length_c 18.728
_cell_angle_alpha 90.00
_cell_angle_beta 90.00
_cell_angle_gamma 90.00
loop_
_atom_site_label
_atom_site_fract_x
_atom_site_fract_y
_atom_site_fract_z
Cu1 0.000 0.000 0.000
W1 0.000 0.000 0.500
Au1 0.246 0.250 0.125



# PBE CuWAu2, relaxed
# calculated formation energy = 0.34 eV per atom
# total energy = -0.2043 hartree per atom
data_CuWAu2
_symmetry_space_group_name_H-M 'C 1 m 1'
_symmetry_Int_Tables_number 8
_symmetry_space_group_name_Hall 'C -2y'
_cell_length_a 9.322
_cell_length_b 2.771
_cell_length_c 5.056
_cell_angle_alpha 90.00
_cell_angle_beta 98.71
_cell_angle_gamma 90.00
loop_
_atom_site_label
_atom_site_fract_x
_atom_site_fract_y
_atom_site_fract_z
Cu1 0.000 0.000 0.000
W1 0.239 0.500 0.249
Au1 0.252 0.000 0.767
Au2 0.490 0.000 0.473



# PBE CuWAu2, relaxed
# calculated formation energy = 0.50 eV per atom
# total energy = -0.1983 hartree per atom
data_CuWAu2
_symmetry_space_group_name_H-M 'P m m m'
_symmetry_Int_Tables_number 47
_symmetry_space_group_name_Hall '-P 2 2'
_cell_length_a 2.748
_cell_length_b 4.899
_cell_length_c 4.900
_cell_angle_alpha 90.00
_cell_angle_beta 90.00
_cell_angle_gamma 90.00
loop_
_atom_site_label
_atom_site_fract_x
_atom_site_fract_y
_atom_site_fract_z
Cu1 0.000 0.000 0.000
W1 0.500 0.000 0.500
Au1 0.000 0.500 0.500
Au2 0.500 0.500 0.000



# PBE ZrCuWAu2, relaxed
# calculated formation energy = 1.93 eV per atom
# total energy = -0.1655 hartree per atom
data_ZrCuWAu2
_symmetry_space_group_name_H-M 'P 4/m m m'
_symmetry_Int_Tables_number 123
_symmetry_space_group_name_Hall '-P 4 2'
_cell_length_a 5.015
_cell_length_b 5.015
_cell_length_c 4.619
_cell_angle_alpha 90.00
_cell_angle_beta 90.00
_cell_angle_gamma 90.00
loop_
_atom_site_label
_atom_site_fract_x
_atom_site_fract_y
_atom_site_fract_z
Zr1 0.000 0.000 0.000
Cu1 0.000 0.000 0.500
W1 0.500 0.500 0.500
Au1 0.000 0.500 0.000



# PBE Y2CuAu, relaxed
# calculated formation energy = -0.32 eV per atom
# total energy = -0.1981 hartree per atom
data_Y2CuAu
_symmetry_space_group_name_H-M 'R 3 m'
_symmetry_Int_Tables_number 160
_symmetry_space_group_name_Hall 'R 3 -2"'
_cell_length_a 4.4118
_cell_length_b 4.4118
_cell_length_c 18.3445
_cell_angle_alpha 90.00
_cell_angle_beta 90.00
_cell_angle_gamma 120.00
loop_
_atom_site_label
_atom_site_fract_x
_atom_site_fract_y
_atom_site_fract_z
Y1 0.0000 0.0000 0.0000
Y2 0.0000 0.0000 0.1828
Cu1 0.0000 0.0000 0.4213
Au1 0.0000 0.0000 0.7606



# PBE Y2CuAu, relaxed
# calculated formation energy = -0.37 eV per atom
# total energy = -0.2002 hartree per atom
data_Y2CuAu
_symmetry_space_group_name_H-M 'P 4 m m'
_symmetry_Int_Tables_number 99
_symmetry_space_group_name_Hall 'P 4 -2'
_cell_length_a 3.692
_cell_length_b 3.692
_cell_length_c 6.848
_cell_angle_alpha 90.00
_cell_angle_beta 90.00
_cell_angle_gamma 90.00
loop_
_atom_site_label
_atom_site_fract_x
_atom_site_fract_y
_atom_site_fract_z
Y1 0.000 0.000 0.000
Y2 0.500 0.500 0.359
Cu1 0.500 0.500 0.793
Au1 0.000 0.000 0.571



# PBE Y2Cu2Au, relaxed
# calculated formation energy = -0.44 eV per atom
# total energy = -0.1955 hartree per atom
data_Y2Cu2Au
_symmetry_space_group_name_H-M 'P 4/m b m'
_symmetry_Int_Tables_number 127
_symmetry_space_group_name_Hall '-P 4 2ab'
_cell_length_a 7.344
_cell_length_b 7.344
_cell_length_c 3.768
_cell_angle_alpha 90.00
_cell_angle_beta 90.00
_cell_angle_gamma 90.00
loop_
_atom_site_label
_atom_site_fract_x
_atom_site_fract_y
_atom_site_fract_z
Y1 0.180 0.320 0.000
Cu1 0.118 0.618 0.500
Au1 0.000 0.000 0.500



# PBE Y2CuAu2, relaxed
# calculated formation energy = -0.39 eV per atom
# total energy = -0.1878 hartree per atom
data_Y2CuAu2
_symmetry_space_group_name_H-M 'P 4/m b m'
_symmetry_Int_Tables_number 127
_symmetry_space_group_name_Hall '-P 4 2ab'
_cell_length_a 7.899
_cell_length_b 7.899
_cell_length_c 3.839
_cell_angle_alpha 90.00
_cell_angle_beta 90.00
_cell_angle_gamma 90.00
loop_
_atom_site_label
_atom_site_fract_x
_atom_site_fract_y
_atom_site_fract_z
Y1 0.166 0.334 0.000
Cu1 0.000 0.000 0.000
Au1 0.132 0.632 0.500



# PBE YCu4Au4, relaxed
# calculated formation energy = -0.10 eV per atom
# total energy = -0.1504 hartree per atom
data_YCu4Au4
_symmetry_space_group_name_H-M 'I 4/m'
_symmetry_Int_Tables_number 87
_symmetry_space_group_name_Hall '-I 4'
_cell_length_a 8.181
_cell_length_b 8.181
_cell_length_c 4.724
_cell_angle_alpha 90.00
_cell_angle_beta 90.00
_cell_angle_gamma 90.00
loop_
_atom_site_label
_atom_site_fract_x
_atom_site_fract_y
_atom_site_fract_z
Y1 0.000 0.000 0.000
Cu1 0.105 0.201 0.500
Au1 0.084 0.351 0.000



# PBE Y4CuAu2, relaxed
# calculated formation energy = -0.51 eV per atom
# total energy = -0.2105 hartree per atom
data_Y4CuAu2
_symmetry_space_group_name_H-M 'R -3 m'
_symmetry_Int_Tables_number 166
_symmetry_space_group_name_Hall '-R 3 2"'
_cell_length_a 5.0057
_cell_length_b 5.0057
_cell_length_c 24.6875
_cell_angle_alpha 90.00
_cell_angle_beta 90.00
_cell_angle_gamma 120.00
loop_
_atom_site_label
_atom_site_fract_x
_atom_site_fract_y
_atom_site_fract_z
Y1 0.0000 0.0000 0.1240
Y2 0.0000 0.0000 0.3740
Cu1 0.0000 0.0000 0.0000
Au1 0.0000 0.0000 0.2469



# PBE YCu2Au2, relaxed
# calculated formation energy = -0.20 eV per atom
# total energy = -0.1634 hartree per atom
data_YCu2Au2
_symmetry_space_group_name_H-M 'P 4/m b m'
_symmetry_Int_Tables_number 127
_symmetry_space_group_name_Hall '-P 4 2ab'
_cell_length_a 7.443
_cell_length_b 7.443
_cell_length_c 3.296
_cell_angle_alpha 90.00
_cell_angle_beta 90.00
_cell_angle_gamma 90.00
loop_
_atom_site_label
_atom_site_fract_x
_atom_site_fract_y
_atom_site_fract_z
Y1 0.000 0.000 0.000
Cu1 0.165 0.335 0.500
Au1 0.132 0.632 0.000



# PBE Y2CuAu, relaxed
# calculated formation energy = -0.38 eV per atom
# total energy = -0.2004 hartree per atom
data_Y2CuAu
_symmetry_space_group_name_H-M 'C 1 2/m 1'
_symmetry_Int_Tables_number 12
_symmetry_space_group_name_Hall '-C 2y'
_cell_length_a 7.199
_cell_length_b 4.150
_cell_length_c 7.157
_cell_angle_alpha 90.00
_cell_angle_beta 109.47
_cell_angle_gamma 90.00
loop_
_atom_site_label
_atom_site_fract_x
_atom_site_fract_y
_atom_site_fract_z
Y1 0.246 0.000 0.239
Cu1 0.000 0.500 0.000
Au1 0.000 0.000 0.500



# PBE Y2CuAu2, relaxed
# calculated formation energy = -0.27 eV per atom
# total energy = -0.1834 hartree per atom
data_Y2CuAu2
_symmetry_space_group_name_H-M 'I 4/m m m'
_symmetry_Int_Tables_number 139
_symmetry_space_group_name_Hall '-I 4 2'
_cell_length_a 3.826
_cell_length_b 3.826
_cell_length_c 16.221
_cell_angle_alpha 90.00
_cell_angle_beta 90.00
_cell_angle_gamma 90.00
loop_
_atom_site_label
_atom_site_fract_x
_atom_site_fract_y
_atom_site_fract_z
Y1 0.000 0.000 0.102
Cu1 0.000 0.000 0.500
Au1 0.000 0.500 0.250



# PBE Y2CuAu, relaxed
# calculated formation energy = -0.55 eV per atom
# total energy = -0.2067 hartree per atom
data_Y2CuAu
_symmetry_space_group_name_H-M 'F m -3 m'
_symmetry_Int_Tables_number 225
_symmetry_space_group_name_Hall '-F 4 2 3'
_cell_length_a 7.111
_cell_length_b 7.111
_cell_length_c 7.111
_cell_angle_alpha 90.00
_cell_angle_beta 90.00
_cell_angle_gamma 90.00
loop_
_atom_site_label
_atom_site_fract_x
_atom_site_fract_y
_atom_site_fract_z
Y1 0.250 0.250 0.250
Cu1 0.000 0.000 0.000
Au1 0.000 0.000 0.500



# PBE Y5CuAu4, relaxed
# calculated formation energy = -0.74 eV per atom
# total energy = -0.2091 hartree per atom
data_Y5CuAu4
_symmetry_space_group_name_H-M 'P 4/m m m'
_symmetry_Int_Tables_number 123
_symmetry_space_group_name_Hall '-P 4 2'
_cell_length_a 3.568
_cell_length_b 3.568
_cell_length_c 18.146
_cell_angle_alpha 90.00
_cell_angle_beta 90.00
_cell_angle_gamma 90.00
loop_
_atom_site_label
_atom_site_fract_x
_atom_site_fract_y
_atom_site_fract_z
Y1 0.000 0.000 0.000
Y2 0.000 0.000 0.203
Y3 0.000 0.000 0.404
Cu1 0.500 0.500 0.500
Au1 0.500 0.500 0.102
Au2 0.500 0.500 0.304



# PBE Y2Cu3Au, relaxed
# calculated formation energy = -0.41 eV per atom
# total energy = -0.1895 hartree per atom
data_Y2Cu3Au
_symmetry_space_group_name_H-M 'F m m m'
_symmetry_Int_Tables_number 69
_symmetry_space_group_name_Hall '-F 2 2'
_cell_length_a 7.153
_cell_length_b 8.675
_cell_length_c 15.155
_cell_angle_alpha 90.00
_cell_angle_beta 90.00
_cell_angle_gamma 90.00
loop_
_atom_site_label
_atom_site_fract_x
_atom_site_fract_y
_atom_site_fract_z
Y1 0.249 0.000 0.000
Y2 0.250 0.250 0.250
Cu1 0.000 0.000 0.161
Cu2 0.000 0.242 0.080
Au1 0.000 0.000 0.333



# PBE YCu2Au2, relaxed
# calculated formation energy = -0.31 eV per atom
# total energy = -0.1674 hartree per atom
data_YCu2Au2
_symmetry_space_group_name_H-M 'P 4/m b m'
_symmetry_Int_Tables_number 127
_symmetry_space_group_name_Hall '-P 4 2ab'
_cell_length_a 7.220
_cell_length_b 7.220
_cell_length_c 3.398
_cell_angle_alpha 90.00
_cell_angle_beta 90.00
_cell_angle_gamma 90.00
loop_
_atom_site_label
_atom_site_fract_x
_atom_site_fract_y
_atom_site_fract_z
Y1 0.000 0.000 0.000
Cu1 0.119 0.381 0.000
Au1 0.176 0.676 0.500